Arrangement i

! K2RbMo, optimized geometry, DFT PBE-GGA; values from VASP
&SYSTEM
  ibrav = 0, nat = 4, ntyp = 3
/
ATOMIC_SPECIES
K 39.10 K.upf
Rb 85.47 Rb.upf
Mo 95.94 Mo.upf
CELL_PARAMETERS angstrom
-3.474 -3.661 4.285
-4.808 2.787 3.598
-6.337 -1.446 -1.258
ATOMIC_POSITIONS angstrom
K -10.964 -1.739 4.969
K -3.655 -0.580 1.656
Rb 0.000 0.000 0.000
Mo -7.310 -1.160 3.313
! SG: No. 225

***

Arrangement ii

! K2RbMo, optimized geometry, DFT PBE-GGA; values from VASP
&SYSTEM
  ibrav = 0, nat = 8, ntyp = 3
/
ATOMIC_SPECIES
Mo 95.94 Mo.upf
K 39.10 K.upf
Rb 85.47 Rb.upf
CELL_PARAMETERS angstrom
5.730 0.000 0.000
0.000 5.730 0.000
2.865 2.865 13.982
ATOMIC_POSITIONS angstrom
Mo 5.730 2.865 6.991
Mo 0.000 0.000 0.000
K 1.280 4.298 3.496
K 4.450 1.433 3.496
K 4.298 4.145 10.487
K 7.163 7.316 10.487
Rb 2.865 5.730 6.991
Rb 2.865 2.865 0.000
! SG: No. 122

***

In meV/atom, relative to the most stable structure: arrangement i 0; arrangement ii 94.

***

Arrangement i

! KRbMo2, optimized geometry, DFT PBE-GGA; values from VASP
&SYSTEM
  ibrav = 0, nat = 8, ntyp = 3
/
ATOMIC_SPECIES
K 39.10 K.upf
Rb 85.47 Rb.upf
Mo 95.94 Mo.upf
CELL_PARAMETERS angstrom
-1.138 -9.655 0.524
8.731 -0.800 4.233
2.622 -4.954 4.851
ATOMIC_POSITIONS angstrom
K 3.796 -5.227 2.379
K 7.575 -5.491 5.731
Rb 2.640 -9.918 3.877
Rb 0.000 0.000 0.000
Mo 5.968 -2.963 3.925
Mo 1.037 -7.355 2.069
Mo 8.594 -12.862 7.793
Mo 4.830 -7.638 5.430
! SG: No. 122

***

Arrangement ii

! KRbMo2, optimized geometry, DFT PBE-GGA; values from VASP
&SYSTEM
  ibrav = 0, nat = 4, ntyp = 3
/
ATOMIC_SPECIES
Rb 85.47 Rb.upf
K 39.10 K.upf
Mo 95.94 Mo.upf
CELL_PARAMETERS angstrom
0.000 4.377 4.377
4.377 0.000 4.377
4.377 4.377 0.000
ATOMIC_POSITIONS angstrom
Rb 4.377 4.377 4.377
K 0.000 0.000 0.000
Mo 6.565 6.565 6.565
Mo 2.188 2.188 2.188
! SG: No. 225

***

In meV/atom, relative to the most stable structure: arrangement i 0; arrangement ii 108.

***

Arrangement i

! KRe2Mo, optimized geometry, DFT PBE-GGA; values from VASP
&SYSTEM
  ibrav = 0, nat = 4, ntyp = 3
/
ATOMIC_SPECIES
Re 186.21 Re.upf
K 39.10 K.upf
Mo 95.94 Mo.upf
CELL_PARAMETERS angstrom
4.574 0.000 0.000
2.287 3.961 0.000
2.287 1.320 3.735
ATOMIC_POSITIONS angstrom
Re 0.000 0.000 0.000
Re 2.287 1.320 0.934
K 4.574 2.641 1.867
Mo 6.861 3.961 2.801
! SG: No. 216

***

Arrangement ii

! KRe2Mo, optimized geometry, DFT PBE-GGA; values from VASP
&SYSTEM
  ibrav = 0, nat = 4, ntyp = 3
/
ATOMIC_SPECIES
Re 186.21 Re.upf
K 39.10 K.upf
Mo 95.94 Mo.upf
CELL_PARAMETERS angstrom
5.275 0.000 0.000
0.000 5.275 0.000
0.000 0.000 2.614
ATOMIC_POSITIONS angstrom
Re 0.000 0.000 0.000
Re 2.637 2.637 0.000
K 2.637 0.000 1.307
Mo 0.000 2.637 1.307
! SG: No. 123

***

Arrangement iii

! KRe2Mo, optimized geometry, DFT PBE-GGA; values from VASP
&SYSTEM
  ibrav = 0, nat = 4, ntyp = 3
/
ATOMIC_SPECIES
Re 186.21 Re.upf
Mo 95.94 Mo.upf
K 39.10 K.upf
CELL_PARAMETERS angstrom
-2.346 10.145 -2.010
-3.883 9.862 0.350
-1.137 10.531 0.521
ATOMIC_POSITIONS angstrom
Re -7.265 30.124 -1.124
Re -3.783 15.684 -0.585
Mo -1.841 7.635 -0.285
K -5.524 22.904 -0.855
! SG: No. 166

***

In meV/atom, relative to the most stable structure: arrangement i 711; arrangement ii 907; arrangement iii 0.

***

Arrangement i

! KRe2Mo, optimized geometry, DFT PBE-GGA; values from VASP
&SYSTEM
  ibrav = 0, nat = 4, ntyp = 3
/
ATOMIC_SPECIES
Mo 95.94 Mo.upf
Re 186.21 Re.upf
K 39.10 K.upf
CELL_PARAMETERS angstrom
-0.618 -2.295 -1.489
2.554 -1.031 0.528
-3.481 -4.407 8.236
ATOMIC_POSITIONS angstrom
Mo -1.864 -5.248 6.220
Re -0.029 -0.037 0.068
Re 0.312 -2.494 1.072
K -1.704 -2.158 4.033
! SG: No. 99

***

Arrangement ii

! KRe2Mo, optimized geometry, DFT PBE-GGA; values from VASP
&SYSTEM
  ibrav = 0, nat = 4, ntyp = 3
/
ATOMIC_SPECIES
Re 186.21 Re.upf
Mo 95.94 Mo.upf
K 39.10 K.upf
CELL_PARAMETERS angstrom
0.000 3.246 3.246
3.246 0.000 3.246
3.246 3.246 0.000
ATOMIC_POSITIONS angstrom
Re 1.623 1.623 1.623
Re 4.868 4.868 4.868
Mo 3.246 3.246 3.246
K 0.000 0.000 0.000
! SG: No. 225

***

In meV/atom, relative to the most stable structure: arrangement i 0; arrangement ii 783.